PBE-GGA Sr16Li12Hg, optimized geometry; ΔE_f = 18 meV/atom; N(E_F) = 0.802 states/eV per atom; volume = 1151.09 Å³ per cell; total magnetization = 0.00 μB per formula unit; energy = -1.71 eV/atom
1.0
10.154 -0.027 -4.185
-5.038 8.817 -4.185
0.064 0.109 12.773
Li Sr Hg
12 16 1
direct
0.816 0.189 0.855 Li
0.367 0.188 0.031 Li
0.006 0.392 0.185 Li
0.392 0.006 0.185 Li
0.192 0.005 0.307 Li
0.614 0.614 0.802 Li
0.631 0.821 0.688 Li
0.816 0.816 0.111 Li
0.821 0.631 0.688 Li
0.189 0.816 0.855 Li
0.005 0.192 0.307 Li
0.188 0.367 0.031 Li
0.631 0.011 0.011 Sr
0.010 0.010 0.014 Sr
0.975 0.975 0.687 Sr
0.377 0.994 0.699 Sr
0.758 0.385 0.360 Sr
0.587 0.234 0.586 Sr
0.994 0.377 0.699 Sr
0.234 0.587 0.586 Sr
0.409 0.638 0.999 Sr
0.011 0.631 0.011 Sr
0.984 0.747 0.357 Sr
0.398 0.398 0.369 Sr
0.747 0.984 0.357 Sr
0.638 0.409 0.999 Sr
0.385 0.758 0.360 Sr
0.246 0.246 0.610 Sr
0.583 0.583 0.253 Hg



PBE-GGA SrLiHg3, optimized geometry; energy relative to the lowest polymorph listed for this composition = 6 meV per atom; ΔE_f = -370 meV/atom; N(E_F) = 0.491 states/eV per atom; volume = 131.32 Å³ per cell; total magnetization = 0.00 μB per formula unit; energy = -1.27 eV/atom
1.0
4.697 0.004 0.023
0.005 4.696 0.023
2.377 2.376 5.978
Li Sr Hg
1 1 3
direct
0.027 0.831 0.652 Li
0.399 0.202 0.907 Sr
0.640 0.938 0.432 Hg
0.808 0.612 0.087 Hg
0.134 0.443 0.432 Hg



PBE-GGA Sr2LiHg, optimized geometry; ΔE_f = -134 meV/atom; N(E_F) = 0.993 states/eV per atom; volume = 159.91 Å³ per cell; total magnetization = 0.00 μB per formula unit; energy = -1.53 eV/atom
1.0
4.454 0.000 0.000
2.227 3.857 0.000
2.227 1.286 9.309
Sr Li Hg
2 1 1
direct
0.074 0.074 0.777 Sr
0.258 0.258 0.225 Sr
0.501 0.501 0.496 Li
0.666 0.666 0.002 Hg



Repeat the third record exactly.
PBE-GGA Sr2LiHg, optimized geometry; ΔE_f = -134 meV/atom; N(E_F) = 0.993 states/eV per atom; volume = 159.91 Å³ per cell; total magnetization = 0.00 μB per formula unit; energy = -1.53 eV/atom
1.0
4.454 0.000 0.000
2.227 3.857 0.000
2.227 1.286 9.309
Sr Li Hg
2 1 1
direct
0.074 0.074 0.777 Sr
0.258 0.258 0.225 Sr
0.501 0.501 0.496 Li
0.666 0.666 0.002 Hg



Repeat the first record exactly.
PBE-GGA Sr16Li12Hg, optimized geometry; ΔE_f = 18 meV/atom; N(E_F) = 0.802 states/eV per atom; volume = 1151.09 Å³ per cell; total magnetization = 0.00 μB per formula unit; energy = -1.71 eV/atom
1.0
10.154 -0.027 -4.185
-5.038 8.817 -4.185
0.064 0.109 12.773
Li Sr Hg
12 16 1
direct
0.816 0.189 0.855 Li
0.367 0.188 0.031 Li
0.006 0.392 0.185 Li
0.392 0.006 0.185 Li
0.192 0.005 0.307 Li
0.614 0.614 0.802 Li
0.631 0.821 0.688 Li
0.816 0.816 0.111 Li
0.821 0.631 0.688 Li
0.189 0.816 0.855 Li
0.005 0.192 0.307 Li
0.188 0.367 0.031 Li
0.631 0.011 0.011 Sr
0.010 0.010 0.014 Sr
0.975 0.975 0.687 Sr
0.377 0.994 0.699 Sr
0.758 0.385 0.360 Sr
0.587 0.234 0.586 Sr
0.994 0.377 0.699 Sr
0.234 0.587 0.586 Sr
0.409 0.638 0.999 Sr
0.011 0.631 0.011 Sr
0.984 0.747 0.357 Sr
0.398 0.398 0.369 Sr
0.747 0.984 0.357 Sr
0.638 0.409 0.999 Sr
0.385 0.758 0.360 Sr
0.246 0.246 0.610 Sr
0.583 0.583 0.253 Hg



Copy entry 3 word for word.
PBE-GGA Sr2LiHg, optimized geometry; ΔE_f = -134 meV/atom; N(E_F) = 0.993 states/eV per atom; volume = 159.91 Å³ per cell; total magnetization = 0.00 μB per formula unit; energy = -1.53 eV/atom
1.0
4.454 0.000 0.000
2.227 3.857 0.000
2.227 1.286 9.309
Sr Li Hg
2 1 1
direct
0.074 0.074 0.777 Sr
0.258 0.258 0.225 Sr
0.501 0.501 0.496 Li
0.666 0.666 0.002 Hg



Question: Look up the volume of the third one.
Answer: 159.91 Å³ per cell